This record from the Alexandria database describes crystalline TlCoF3 at its relaxed geometry. The functional is PBE with a Hubbard U.

Results
DOS at the Fermi energy = 8.34 states/eV/f.u.
excess energy over the best structure of this formula in the dataset = 526 kJ/mol of formula units
total DFT energy (no corrections) = -3.482 eV per atom

Cell lengths 4.6146, 4.6146, 4.6146 Å; angles 90.00, 90.00, 90.00 degrees
With the nearest neighbours (Å) after each atom.
Fractional positions:
1 Tl 0.0000 0.0000 0.0000  6 F 2.31
2 Co 0.5000 0.5000 0.5000  12 F 3.26
3 F 0.0000 0.5000 0.0000  2 Tl 2.31
4 F 0.0000 0.0000 0.5000  2 Tl 2.31
5 F 0.5000 0.0000 0.0000  2 Tl 2.31